Here is a relaxed CoNi2Se crystal from Alexandria. Energies are from PBE.

POSCAR file:
```
CoNi2Se
1.0
7.723 0.000 0.000
0.000 3.657 0.000
-2.317 0.000 3.602
Co Ni Se
2 4 2
Direct
0.000 0.000 0.000
0.500 0.500 0.000
0.077 0.500 0.600
0.289 0.500 0.319
0.577 0.000 0.600
0.789 0.000 0.319
0.297 0.000 0.964
0.797 0.500 0.964
```

Output
- magnetic moment (Bohr magnetons per cell) = 3.724
- uncorrected formation energy (eV/atom) = 0.1501